(1)
A plane-wave DFT calculation with GGA-PBE was carried out for an optimized crystal structure of Pa3Mo5N12.

```
80
Lattice="-6.368 6.368 6.368 6.368 -6.368 6.368 6.368 6.368 -6.368" Properties=species:S:1:pos:R:3 pbc="T T T"
Pa 3.184 1.592 0.000
Pa 6.368 3.184 -1.592
Pa 1.592 0.000 3.184
Pa 7.961 0.000 3.184
Pa 0.000 3.184 1.592
Pa 3.184 -1.592 6.368
Pa 3.184 7.961 0.000
Pa 6.368 3.184 4.776
Pa -1.592 6.368 3.184
Pa 4.776 6.368 3.184
Pa 0.000 3.184 7.961
Pa 3.184 4.776 6.368
Mo 0.000 0.000 0.000
Mo 3.184 3.184 -3.184
Mo 3.184 -3.184 3.184
Mo 6.368 0.000 0.000
Mo 9.553 1.592 0.000
Mo 6.368 -3.184 4.776
Mo 4.776 6.368 -3.184
Mo 4.776 0.000 3.184
Mo 3.184 4.776 0.000
Mo 6.368 3.184 1.592
Mo -3.184 3.184 3.184
Mo 0.000 6.368 0.000
Mo 0.000 0.000 6.368
Mo 3.184 3.184 3.184
Mo 0.000 3.184 4.776
Mo 3.184 1.592 6.368
Mo 1.592 6.368 3.184
Mo 1.592 0.000 9.553
Mo 0.000 9.553 1.592
Mo -3.184 4.776 6.368
N 1.948 -0.344 0.718
N 7.605 3.902 -3.529
N 8.316 0.344 0.718
N 7.605 -2.466 3.529
N 6.024 -0.718 1.948
N 9.897 -1.236 2.466
N 0.718 1.948 -0.344
N 8.834 2.840 -1.236
N 3.902 3.529 -1.236
N 5.650 1.948 0.344
N -0.344 0.718 1.948
N 3.529 -1.236 3.902
N 6.024 5.650 -1.948
N 3.529 1.236 2.466
N 3.902 -3.529 7.605
N 5.650 -1.948 6.024
N 2.466 3.529 1.236
N 7.087 4.420 0.344
N 3.529 7.605 -2.466
N 6.024 0.718 4.420
N 1.948 6.024 -0.718
N 7.605 2.466 2.840
N 1.236 2.466 3.529
N 1.948 0.344 5.650
N 4.420 6.024 0.718
N 5.132 3.902 2.840
N -1.236 3.902 3.529
N 4.420 0.344 7.087
N 0.344 5.650 1.948
N 2.840 -1.236 8.834
N -0.718 1.948 6.024
N 3.902 2.840 5.132
N 0.718 8.316 0.344
N 2.466 9.897 -1.236
N 2.840 5.132 3.902
N 0.344 0.718 8.316
N 2.840 7.605 2.466
N 6.713 5.650 4.420
N 0.718 4.420 6.024
N 2.466 2.840 7.605
N -2.466 3.529 7.605
N 5.650 4.420 6.713
N -3.529 7.605 3.902
N 0.344 7.087 4.420
N -1.236 8.834 2.840
N -1.948 6.024 5.650
N -1.236 2.466 9.897
N 4.420 6.713 5.650
```

Calculated values
* DOS at the Fermi energy: 0.57 states/eV/atom
* crystal system: cubic
* formation energy (no corrections): -796 meV per atom
* calculated volume: 12.91 A^3/atom


(2)
A plane-wave DFT calculation with GGA-PBE was carried out for an optimized crystal structure of Pa3MoN6.

```
20
Lattice="4.577 -5.649 0.000 4.577 5.649 0.000 0.000 0.000 5.550" Properties=species:S:1:pos:R:3 pbc="T T T"
Pa 4.577 4.446 2.775
Pa 2.790 1.192 2.999
Pa 2.790 -1.192 0.224
Pa 6.363 1.192 2.999
Pa 6.363 -1.192 0.224
Pa 4.577 -4.446 0.000
Mo 4.577 2.117 0.414
Mo 4.577 -2.117 3.189
N 3.164 2.984 1.442
N 1.429 0.160 1.505
N 1.429 -0.160 4.280
N 4.577 2.442 4.019
N 5.989 2.984 1.442
N 4.577 0.417 1.408
N 4.577 -0.417 4.183
N 3.164 -2.984 4.217
N 4.577 -2.442 1.244
N 7.724 0.160 1.505
N 7.724 -0.160 4.280
N 5.989 -2.984 4.217
```

Calculated values
* DOS at the Fermi energy: 0.77 states/eV/atom
* crystal system: orthorhombic
* formation energy (no corrections): -1331 meV per atom
* calculated volume: 14.35 A^3/atom


| no. | magnetic moment (μB/cell) |
| --- | --- |
| 1 | 0.000 |
| 2 | 4.510 |